1.
Compound: NdScTe2
Source: Alexandria via LeMat-Bulk
Functional: GGA-PBE
Structure: relaxed

Cell lengths 4.2878, 4.2878, 21.6693 Å; angles 90.00, 90.00, 120.00 degrees
Space group R-3m (No. 166, hexagonal axes)
Inequivalent atoms, fractional coordinates:
Nd 0.0000 0.0000 0.0000 (multiplicity 3)
Sc 0.0000 0.0000 0.5000 (multiplicity 3)
Te 0.0000 0.0000 0.2412 (multiplicity 6)

**D(E_F)**: 7.73 states/eV per cell
**Total energy**: -67.2 eV for the cell shown
**V**: 345.02 Å³/cell
**Energy relative to the elements, uncorrected**: -121 kJ/mol of atoms
**Excess energy over the best structure of this formula in the dataset**: 35.8 meV per atom

***

2.
Compound: Nd5ScTe6
Source: Alexandria via LeMat-Bulk
Functional: GGA-PBE
Structure: relaxed

Cell lengths 7.6879, 13.3433, 7.7066 Å; angles 90.00, 109.41, 90.00 degrees
Space group C2/m (No. 12)
Inequivalent atoms, fractional coordinates:
Nd 0.0000 0.0000 0.0000 (multiplicity 2)
Nd 0.0000 0.1656 0.5000 (multiplicity 4)
Nd 0.0000 0.3201 0.0000 (multiplicity 4)
Sc 0.0000 0.5000 0.5000 (multiplicity 2)
Te 0.2317 0.5000 0.2503 (multiplicity 4)
Te 0.2357 0.3420 0.7370 (multiplicity 8)

**D(E_F)**: 13.22 states/eV per cell
**Total energy**: -130.7 eV for the cell shown
**V**: 745.64 Å³/cell
**Energy relative to the elements, uncorrected**: -131 kJ/mol of atoms

***

3.
Compound: Nd3ScTe4
Source: Alexandria via LeMat-Bulk
Functional: GGA-PBE
Structure: relaxed

Cell lengths 6.2768, 6.2768, 12.5224 Å; angles 90.00, 90.00, 90.00 degrees
Space group I4/mmm (No. 139)
Inequivalent atoms, fractional coordinates:
Nd 0.0000 0.0000 0.0000 (multiplicity 2)
Nd 0.0000 0.5000 0.2500 (multiplicity 4)
Sc 0.0000 0.0000 0.5000 (multiplicity 2)
Te 0.0000 0.0000 0.2611 (multiplicity 4)
Te 0.0000 0.5000 0.0000 (multiplicity 4)

**D(E_F)**: 10.58 states/eV per cell
**Total energy**: -87.2 eV for the cell shown
**V**: 493.36 Å³/cell
**Energy relative to the elements, uncorrected**: -126 kJ/mol of atoms
**Excess energy over the best structure of this formula in the dataset**: 18.2 meV per atom

***

4.
Compound: NdScTe2
Source: Alexandria via LeMat-Bulk
Functional: GGA-PBE
Structure: relaxed

Cell lengths 5.3316, 5.3316, 3.7894 Å; angles 90.00, 90.00, 90.00 degrees
Space group P4/mmm (No. 123)
Inequivalent atoms, fractional coordinates:
Nd 0.0000 0.0000 0.0000 (multiplicity 1)
Sc 0.5000 0.5000 0.0000 (multiplicity 1)
Te 0.0000 0.5000 0.5000 (multiplicity 2)

**D(E_F)**: 2.62 states/eV per cell
**Total energy**: -21.8 eV for the cell shown
**V**: 107.72 Å³/cell
**Energy relative to the elements, uncorrected**: -106 kJ/mol of atoms
**Excess energy over the best structure of this formula in the dataset**: 193.6 meV per atom

***

- What is the energy relative to the elements, uncorrected in the fourth record?
  -106 kJ/mol of atoms

***

- Which of these has the highest energy relative to the elements, uncorrected?
  number 4